# 1
# PBE Cu2Ag5, optimized geometry
# Distance to the lowest polymorph of the same formula in meV/atom: 41
data_Cu2Ag5
_chemical_formula_sum 'Cu6 Ag15'
_space_group_name_H-M_alt 'R -3 m'
_space_group_IT_number 166
_space_group_name_Hall '-R 3 2"'
_cell_length_a 2.8499
_cell_length_b 2.8499
_cell_length_c 48.5182
_cell_angle_alpha 90.00
_cell_angle_beta 90.00
_cell_angle_gamma 120.00
loop_
_atom_site_label
_atom_site_type_symbol
_atom_site_fract_x
_atom_site_fract_y
_atom_site_fract_z
Cu1 Cu 0.0000 0.0000 0.0710
Ag1 Ag 0.0000 0.0000 0.2171
Ag2 Ag 0.0000 0.0000 0.3588
Ag3 Ag 0.0000 0.0000 0.5000


# 2
# PBE CuAg, optimized geometry
# E in eV per atom: -3.171
data_CuAg
_chemical_formula_sum 'Cu10 Ag10'
_space_group_name_H-M_alt 'C 1 m 1'
_space_group_IT_number 8
_cell_length_a 9.1322
_cell_length_b 2.7843
_cell_length_c 11.8182
_cell_angle_alpha 90.00
_cell_angle_beta 100.68
_cell_angle_gamma 90.00
loop_
_space_group_symop_operation_xyz
'x,y,z'
'x,-y,z'
'x+1/2,y+1/2,z'
'x+1/2,-y+1/2,z'
loop_
_atom_site_label
_atom_site_type_symbol
_atom_site_fract_x
_atom_site_fract_y
_atom_site_fract_z
Cu1 Cu 0.0000 0.0000 0.0000
Cu2 Cu 0.0067 0.5000 0.4897
Cu3 Cu 0.0980 0.0000 0.6809
Cu4 Cu 0.1973 0.0000 0.3969
Cu5 Cu 0.3959 0.5000 0.3162
Ag1 Ag 0.0955 0.5000 0.2094
Ag2 Ag 0.1961 0.5000 0.8941
Ag3 Ag 0.3012 0.5000 0.5840
Ag4 Ag 0.3028 0.0000 0.1040
Ag5 Ag 0.4037 0.0000 0.7923


# 3
# PBE CuAg, optimized geometry
# E in eV per atom: -3.186
data_CuAg
_chemical_formula_sum 'Cu10 Ag10'
_space_group_name_H-M_alt 'C 1 m 1'
_space_group_IT_number 8
_cell_length_a 11.1626
_cell_length_b 2.8572
_cell_length_c 9.4325
_cell_angle_alpha 90.00
_cell_angle_beta 97.61
_cell_angle_gamma 90.00
loop_
_space_group_symop_operation_xyz
'x,y,z'
'x,-y,z'
'x+1/2,y+1/2,z'
'x+1/2,-y+1/2,z'
loop_
_atom_site_label
_atom_site_type_symbol
_atom_site_fract_x
_atom_site_fract_y
_atom_site_fract_z
Cu1 Cu 0.0000 0.0000 0.0000
Cu2 Cu 0.0153 0.5000 0.5217
Cu3 Cu 0.1083 0.0000 0.3418
Cu4 Cu 0.1975 0.0000 0.6076
Cu5 Cu 0.3132 0.0000 0.9318
Ag1 Ag 0.1185 0.5000 0.8162
Ag2 Ag 0.1936 0.5000 0.1248
Ag3 Ag 0.3120 0.5000 0.4216
Ag4 Ag 0.3967 0.5000 0.7187
Ag5 Ag 0.4234 0.0000 0.2107


# 4
# PBE Cu2Ag7, optimized geometry
# Distance to the lowest polymorph of the same formula in meV/atom: 33
data_Cu2Ag7
_chemical_formula_sum 'Cu4 Ag14'
_space_group_name_H-M_alt 'I m m m'
_space_group_IT_number 71
_space_group_name_Hall '-I 2 2'
_cell_length_a 2.8968
_cell_length_b 3.9669
_cell_length_c 26.1978
_cell_angle_alpha 90.00
_cell_angle_beta 90.00
_cell_angle_gamma 90.00
loop_
_atom_site_label
_atom_site_type_symbol
_atom_site_fract_x
_atom_site_fract_y
_atom_site_fract_z
Cu1 Cu 0.0000 0.0000 0.0514
Ag1 Ag 0.0000 0.0000 0.1623
Ag2 Ag 0.0000 0.0000 0.2791
Ag3 Ag 0.0000 0.0000 0.3947
Ag4 Ag 0.0000 0.0000 0.5000


Please write out number 2 again, unchanged.
# PBE CuAg, optimized geometry
# E in eV per atom: -3.171
data_CuAg
_chemical_formula_sum 'Cu10 Ag10'
_space_group_name_H-M_alt 'C 1 m 1'
_space_group_IT_number 8
_cell_length_a 9.1322
_cell_length_b 2.7843
_cell_length_c 11.8182
_cell_angle_alpha 90.00
_cell_angle_beta 100.68
_cell_angle_gamma 90.00
loop_
_space_group_symop_operation_xyz
'x,y,z'
'x,-y,z'
'x+1/2,y+1/2,z'
'x+1/2,-y+1/2,z'
loop_
_atom_site_label
_atom_site_type_symbol
_atom_site_fract_x
_atom_site_fract_y
_atom_site_fract_z
Cu1 Cu 0.0000 0.0000 0.0000
Cu2 Cu 0.0067 0.5000 0.4897
Cu3 Cu 0.0980 0.0000 0.6809
Cu4 Cu 0.1973 0.0000 0.3969
Cu5 Cu 0.3959 0.5000 0.3162
Ag1 Ag 0.0955 0.5000 0.2094
Ag2 Ag 0.1961 0.5000 0.8941
Ag3 Ag 0.3012 0.5000 0.5840
Ag4 Ag 0.3028 0.0000 0.1040
Ag5 Ag 0.4037 0.0000 0.7923


Which formula does entry 2 have?
CuAg


Which formula does entry 1 have?
Cu2Ag5